Dy2Er3Ag2: relaxed, GGA-PBE.

Results
As for the crystal system: monoclinic. The value obtained for the spin magnetization is 0.0 μB/f.u. The formation enthalpy at 0 K is -174 meV/atom.

abc: 14.921 14.921 3.577
angles: 96.84 96.84 13.76
Sites, in units of the cell vectors:
Dy (0.208, 0.208, 0.208)
Dy (0.792, 0.792, 0.792)
Er (0.376, 0.376, 0.377)
Er (0.500, 0.500, 0.500)
Er (0.624, 0.624, 0.623)
Ag (0.062, 0.062, 0.062)
Ag (0.938, 0.938, 0.938)